{"formula": "Tb2Pm2TmMg5", "functional": "PBE", "state": "relaxed", "cell": [[10.596, 0.000, 0.000], [0.000, 10.596, 0.000], [0.000, 0.000, 5.072]], "species": ["Tb", "Tb", "Tb", "Tb", "Pm", "Pm", "Pm", "Pm", "Tm", "Tm", "Mg", "Mg", "Mg", "Mg", "Mg", "Mg", "Mg", "Mg", "Mg", "Mg"], "fractional_positions": [[0.121, 0.379, 0.000], [0.379, 0.879, 0.000], [0.621, 0.121, 0.000], [0.879, 0.621, 0.000], [0.177, 0.677, 0.000], [0.323, 0.177, 0.000], [0.677, 0.823, 0.000], [0.823, 0.323, 0.000], [0.000, 0.000, 0.000], [0.500, 0.500, 0.000], [0.000, 0.500, 0.500], [0.068, 0.197, 0.500], [0.197, 0.932, 0.500], [0.303, 0.432, 0.500], [0.432, 0.697, 0.500], [0.500, 0.000, 0.500], [0.568, 0.303, 0.500], [0.697, 0.568, 0.500], [0.803, 0.068, 0.500], [0.932, 0.803, 0.500]], "m_tot_mub_per_fu": 0.00, "rho_g_cm3": 5.24, "formation_enthalpy_0k_mev_per_atom": 47, "volume_a3_per_atom": 28.476}